(1)
TaCdP | PBE | optimized geometry

a b c (Å): 10.623 3.282 3.255
angles (deg): 90.00 98.89 90.00
Space group Cm (No. 8)
One atom of each set of equivalent atoms:
Ta1 0.000 0.000 0.000 [2 per cell]
Cd1 0.201 0.500 0.611 [2 per cell]
P1 0.409 0.000 0.464 [2 per cell]

formation energy from the elements	-122	meV/atom
crystal system	monoclinic

(2)
PtSe3I | PBE | optimized geometry

a b c (Å): 5.022 5.022 5.022
angles (deg): 90.00 90.00 90.00
Space group Pm-3m (No. 221)
One atom of each set of equivalent atoms:
Pt1 0.000 0.000 0.000 [1 per cell]
Se1 0.000 0.000 0.500 [3 per cell]
I1 0.500 0.500 0.500 [1 per cell]

total energy	-3.173	eV/atom
crystal system	cubic

(3)
CePmCoPt | PBE | optimized geometry

a b c (Å): 7.012 7.012 7.012
angles (deg): 90.00 90.00 90.00
Space group F-43m (No. 216)
One atom of each set of equivalent atoms:
Ce1 0.000 0.000 0.000 [4 per cell]
Pm1 0.000 0.000 0.500 [4 per cell]
Co1 0.250 0.250 0.750 [4 per cell]
Pt1 0.250 0.250 0.250 [4 per cell]

formation energy from the elements	-485	meV/atom
crystal system	cubic